The following is a PBE calculation of crystalline InFeReOs at its relaxed geometry, from the Open Quantum Materials Database.

Cell: 4.415 4.415 4.415 Å, 60.00 60.00 60.00°
Atoms (fractional coordinates):
In (0.000, 0.000, 0.000)
Fe (0.250, 0.250, 0.250)
Re (0.500, 0.500, 0.500)
Os (0.750, 0.750, 0.750)

Space group ... No. 216
Crystal system ... cubic
ρ ... 14.9 g cm⁻³
Total energy ... -8.221 eV/atom